1.
Entry from OQMD: ErPa2 after structural relaxation (GGA-PBE).

Cell lengths 8.328, 8.328, 8.328 Å; angles 60.00, 60.00, 60.00 degrees
Site moments in Bohr magnetons follow the coordinates.
Element x y z (fractional)
Er 0.500 0.500 0.500  -0.04
Pa 0.375 0.375 0.875  0.18
Pa 0.875 0.375 0.375  0.41
Pa 0.375 0.375 0.375  0.22
Er 0.250 0.250 0.250  -0.04
Pa 0.375 0.875 0.375  0.22

**Total energy**: -4.67 eV per atom
**Calculated formation energy**: 3.180 eV/atom
**Space-group type**: No. 227

***

2.
Entry from OQMD: ErPaPb after structural relaxation (GGA-PBE).

Cell lengths 5.194, 5.194, 5.194 Å; angles 60.00, 60.00, 60.00 degrees
Site moments in Bohr magnetons follow the coordinates.
Element x y z (fractional)
Pa 0.750 0.750 0.750  1.48
Er 0.250 0.250 0.250  0.53
Pb 0.000 0.000 0.000  -0.04

**Total energy**: -5.48 eV per atom
**Space-group type**: No. 216

***

3.
Entry from OQMD: ErPaPd after structural relaxation (GGA-PBE).

Cell lengths 4.821, 4.821, 4.821 Å; angles 60.00, 60.00, 60.00 degrees
Site moments in Bohr magnetons follow the coordinates.
Element x y z (fractional)
Er 0.500 0.500 0.500  0.16
Pd 0.250 0.250 0.250  0.01
Pa 0.000 0.000 0.000  0.81

**Total energy**: -6.42 eV per atom
**Calculated formation energy**: -0.004 eV/atom
**Space-group type**: No. 216

***

4.
Entry from OQMD: ErPaPt after structural relaxation (GGA-PBE).

Cell lengths 4.824, 4.824, 4.824 Å; angles 60.00, 60.00, 60.00 degrees
Element x y z (fractional)
Pa 0.750 0.750 0.750
Pt 0.000 0.000 0.000
Er 0.250 0.250 0.250

**Total energy**: -7.11 eV per atom
**Calculated formation energy**: -0.407 eV/atom
**Space-group type**: No. 216

***

5.
Entry from OQMD: ErPuPa after structural relaxation (GGA-PBE).

Cell lengths 4.964, 4.964, 4.964 Å; angles 60.00, 60.00, 60.00 degrees
Site moments in Bohr magnetons follow the coordinates.
Element x y z (fractional)
Pu 0.250 0.250 0.250  5.81
Pa 0.000 0.000 0.000  1.45
Er 0.500 0.500 0.500  0.51

**Total energy**: -8.68 eV per atom
**Calculated formation energy**: 0.717 eV/atom
**Space-group type**: No. 216

***

6.
Entry from OQMD: ErPaRe after structural relaxation (GGA-PBE).

Cell lengths 4.757, 4.757, 4.757 Å; angles 60.00, 60.00, 60.00 degrees
Site moments in Bohr magnetons follow the coordinates.
Element x y z (fractional)
Re 0.000 0.000 0.000  -0.01
Er 0.750 0.750 0.750  0.03
Pa 0.250 0.250 0.250  0.14

**Total energy**: -8.61 eV per atom
**Calculated formation energy**: 0.214 eV/atom
**Space-group type**: No. 216

***

7.
Entry from OQMD: ErScPa after structural relaxation (GGA-PBE).

Cell lengths 5.089, 5.089, 5.089 Å; angles 60.00, 60.00, 60.00 degrees
Element x y z (fractional)
Sc 0.000 0.000 0.000
Pa 0.750 0.750 0.750
Er 0.250 0.250 0.250

**Total energy**: -5.82 eV per atom
**Calculated formation energy**: 0.976 eV/atom
**Space-group type**: No. 216

***

8.
Entry from OQMD: ErPaSi after structural relaxation (GGA-PBE).

Cell lengths 4.767, 4.767, 4.767 Å; angles 60.00, 60.00, 60.00 degrees
Element x y z (fractional)
Er 0.250 0.250 0.250
Si 0.000 0.000 0.000
Pa 0.750 0.750 0.750

**Total energy**: -6.53 eV per atom
**Space-group type**: No. 216

***

9.
Entry from OQMD: TbErPa after structural relaxation (GGA-PBE).

Cell lengths 5.252, 5.252, 5.252 Å; angles 60.00, 60.00, 60.00 degrees
Element x y z (fractional)
Pa 0.250 0.250 0.250
Er 0.000 0.000 0.000
Tb 0.750 0.750 0.750

**Total energy**: -5.15 eV per atom
**Calculated formation energy**: 1.083 eV/atom
**Space-group type**: No. 216

***

10.
Entry from OQMD: Er2PaTc2 after structural relaxation (GGA-PBE).

Cell lengths 3.433, 3.433, 22.721 Å; angles 90.00, 90.00, 120.00 degrees
Element x y z (fractional)
Tc 0.333 0.667 0.419
Er 0.667 0.333 0.178
Er 0.333 0.667 0.678
Er 0.667 0.333 0.322
Tc 0.667 0.333 0.919
Tc 0.667 0.333 0.581
Pa 0.000 0.000 0.500
Pa 0.000 0.000 0.000
Er 0.333 0.667 0.822
Tc 0.333 0.667 0.081

**Total energy**: -7.80 eV per atom
**Calculated formation energy**: 0.067 eV/atom
**Space-group type**: No. 194

***

11.
Entry from OQMD: ErThPa after structural relaxation (GGA-PBE).

Cell lengths 5.251, 5.251, 5.251 Å; angles 60.00, 60.00, 60.00 degrees
Site moments in Bohr magnetons follow the coordinates.
Element x y z (fractional)
Pa 0.000 0.000 0.000  0.07
Er 0.250 0.250 0.250  0.01
Th 0.750 0.750 0.750  0.01

**Total energy**: -6.15 eV per atom
**Calculated formation energy**: 1.010 eV/atom
**Space-group type**: No. 216

***

12.
Entry from OQMD: ErPaTl after structural relaxation (GGA-PBE).

Cell lengths 5.142, 5.142, 5.142 Å; angles 60.00, 60.00, 60.00 degrees
Element x y z (fractional)
Tl 0.000 0.000 0.000
Pa 0.750 0.750 0.750
Er 0.250 0.250 0.250

**Total energy**: -4.92 eV per atom
**Space-group type**: No. 216

***

13.
Entry from OQMD: ErTmPa after structural relaxation (GGA-PBE).

Cell lengths 5.225, 5.225, 5.225 Å; angles 60.00, 60.00, 60.00 degrees
Element x y z (fractional)
Tm 0.000 0.000 0.000
Er 0.250 0.250 0.250
Pa 0.750 0.750 0.750

**Total energy**: -5.10 eV per atom
**Calculated formation energy**: 1.074 eV/atom
**Space-group type**: No. 216

***

14.
Entry from OQMD: ErUPa after structural relaxation (GGA-PBE).

Cell lengths 4.988, 4.988, 4.988 Å; angles 60.00, 60.00, 60.00 degrees
Element x y z (fractional)
U 0.000 0.000 0.000
Er 0.250 0.250 0.250
Pa 0.750 0.750 0.750

**Total energy**: -7.31 eV per atom
**Calculated formation energy**: 1.138 eV/atom
**Space-group type**: No. 216

***

15.
Entry from OQMD: ErPaW after structural relaxation (GGA-PBE).

Cell lengths 4.804, 4.804, 4.804 Å; angles 60.00, 60.00, 60.00 degrees
Element x y z (fractional)
W 0.250 0.250 0.250
Er 0.000 0.000 0.000
Pa 0.500 0.500 0.500

**Total energy**: -8.45 eV per atom
**Calculated formation energy**: 0.556 eV/atom
**Space-group type**: No. 216

***

16.
Entry from OQMD: YErPa after structural relaxation (GGA-PBE).

Cell lengths 5.253, 5.253, 5.253 Å; angles 60.00, 60.00, 60.00 degrees
Element x y z (fractional)
Er 0.000 0.000 0.000
Pa 0.250 0.250 0.250
Y 0.750 0.750 0.750

**Total energy**: -5.76 eV per atom
**Calculated formation energy**: 1.085 eV/atom
**Space-group type**: No. 216

***

17.
Entry from OQMD: ErPaZn after structural relaxation (GGA-PBE).

Cell lengths 4.810, 4.810, 4.810 Å; angles 60.00, 60.00, 60.00 degrees
Element x y z (fractional)
Zn 0.000 0.000 0.000
Er 0.250 0.250 0.250
Pa 0.750 0.750 0.750

**Total energy**: -4.69 eV per atom
**Calculated formation energy**: 0.413 eV/atom
**Space-group type**: No. 216

***

18.
Entry from OQMD: ErZrPa after structural relaxation (GGA-PBE).

Cell lengths 5.004, 5.004, 5.004 Å; angles 60.00, 60.00, 60.00 degrees
Element x y z (fractional)
Zr 0.750 0.750 0.750
Er 0.000 0.000 0.000
Pa 0.250 0.250 0.250

**Total energy**: -6.41 eV per atom
**Calculated formation energy**: 1.128 eV/atom
**Space-group type**: No. 216

***

19.
Entry from OQMD: ErPb after structural relaxation (GGA-PBE).

Cell lengths 3.588, 3.588, 5.115 Å; angles 90.00, 90.00, 120.00 degrees
Site moments in Bohr magnetons follow the coordinates.
Element x y z (fractional)
Pb 0.333 0.667 0.250  0.00
Er 0.667 0.333 0.750  0.22

**Total energy**: -4.44 eV per atom
**Space-group type**: No. 187

***

20.
Entry from OQMD: ErPb after structural relaxation (GGA-PBE).

Cell lengths 4.411, 4.411, 4.411 Å; angles 60.00, 60.00, 60.00 degrees
Element x y z (fractional)
Er 0.000 0.000 0.000
Pb 0.500 0.500 0.500

**Total energy**: -4.42 eV per atom
**Space-group type**: No. 225

***

21.
Entry from OQMD: Er5Pb4 after structural relaxation (GGA-PBE).

Cell lengths 8.130, 15.465, 8.184 Å; angles 90.00, 90.00, 90.00 degrees
Element x y z (fractional)
Er 0.536 0.599 0.324
Pb 0.848 0.750 0.346
Er 0.209 0.750 0.504
Er 0.964 0.099 0.824
Er 0.536 0.901 0.324
Pb 0.282 0.042 0.034
Er 0.624 0.379 0.157
Pb 0.070 0.750 0.875
Er 0.124 0.379 0.343
Er 0.036 0.901 0.176
Pb 0.782 0.458 0.466
Er 0.791 0.250 0.496
Pb 0.348 0.750 0.154
Er 0.876 0.879 0.657
Er 0.464 0.099 0.676
Pb 0.282 0.458 0.034
Pb 0.782 0.042 0.466
Pb 0.570 0.750 0.625
Pb 0.930 0.250 0.125
Pb 0.430 0.250 0.375
Er 0.709 0.750 0.996
Er 0.124 0.121 0.343
Er 0.036 0.599 0.176
Pb 0.218 0.958 0.534
Pb 0.152 0.250 0.654
Er 0.876 0.621 0.657
Er 0.291 0.250 0.004
Pb 0.652 0.250 0.846
Pb 0.218 0.542 0.534
Pb 0.718 0.542 0.966
Er 0.624 0.121 0.157
Er 0.464 0.401 0.676
Er 0.376 0.621 0.843
Pb 0.718 0.958 0.966
Er 0.964 0.401 0.824
Er 0.376 0.879 0.843

**Total energy**: -4.69 eV per atom
**Space-group type**: No. 62

***

22.
Entry from OQMD: ErPb after structural relaxation (GGA-PBE).

Cell lengths 4.926, 4.926, 4.926 Å; angles 60.00, 60.00, 60.00 degrees
Site moments in Bohr magnetons follow the coordinates.
Element x y z (fractional)
Pb 0.250 0.250 0.250  0.28
Er 0.000 0.000 0.000  0.35

**Total energy**: -3.69 eV per atom
**Space-group type**: No. 216

***

23.
Entry from OQMD: ErPb2 after structural relaxation (GGA-PBE).

Cell lengths 6.354, 6.354, 6.354 Å; angles 60.00, 60.00, 60.00 degrees
Element x y z (fractional)
Pb 0.125 0.625 0.625
Pb 0.625 0.625 0.125
Er 0.250 0.250 0.250
Pb 0.625 0.125 0.625
Er 0.000 0.000 0.000
Pb 0.625 0.625 0.625

**Total energy**: -3.98 eV per atom
**Space-group type**: No. 227

***

24.
Entry from OQMD: ErPdPb after structural relaxation (GGA-PBE).

Cell lengths 8.210, 8.210, 3.512 Å; angles 90.00, 90.00, 120.00 degrees
Element x y z (fractional)
Pd 0.000 0.642 0.500
Er 0.294 0.000 0.000
Er 0.000 0.294 0.000
Er 0.706 0.706 0.000
Pd 0.642 0.000 0.500
Pd 0.358 0.358 0.500
Pb 0.000 0.000 0.500
Pb 0.333 0.667 0.000
Pb 0.667 0.333 0.000

**Total energy**: -4.85 eV per atom
**Space-group type**: No. 189

***

25.
Entry from OQMD: Er2PdPb6 after structural relaxation (GGA-PBE).

Cell lengths 11.889, 11.889, 4.647 Å; angles 90.00, 90.00, 157.79 degrees
Element x y z (fractional)
Pb 0.425 0.575 0.500
Er 0.186 0.814 0.500
Pb 0.299 0.701 0.000
Er 0.814 0.186 0.500
Pb 0.575 0.425 0.500
Pd 0.500 0.500 0.000
Pb 0.701 0.299 0.000
Pb 0.077 0.923 0.000
Pb 0.923 0.077 0.000

**Total energy**: -4.33 eV per atom
**Space-group type**: No. 65

***

26.
Entry from OQMD: ErPdPb after structural relaxation (GGA-PBE).

Cell lengths 7.649, 7.649, 3.971 Å; angles 90.00, 90.00, 120.00 degrees
Element x y z (fractional)
Pb 0.000 0.264 0.500
Pd 0.000 0.000 0.000
Pb 0.264 0.000 0.500
Er 0.405 0.405 0.000
Pb 0.736 0.736 0.500
Pd 0.333 0.667 0.500
Er 0.595 0.000 0.000
Pd 0.667 0.333 0.500
Er 0.000 0.595 0.000

**Total energy**: -5.19 eV per atom
**Space-group type**: No. 189

***

27.
Entry from OQMD: ErPd2Pb2 after structural relaxation (GGA-PBE).

Cell lengths 8.124, 8.124, 8.124 Å; angles 138.35, 138.35, 60.37 degrees
Element x y z (fractional)
Pd 0.557 0.057 0.500
Pb 0.375 0.125 0.750
Pb 0.875 0.625 0.250
Pd 0.193 0.193 0.000
Pb 0.375 0.625 0.250
Er 0.000 0.000 0.000
Er 0.750 0.250 0.500
Pd 0.943 0.443 0.500
Pd 0.807 0.807 0.000
Pb 0.375 0.625 0.750

**Total energy**: -4.75 eV per atom
**Space-group type**: No. 141

***

28.
Entry from OQMD: ErPdPb after structural relaxation (GGA-PBE).

Cell lengths 7.319, 7.319, 4.425 Å; angles 90.00, 90.00, 120.00 degrees
Element x y z (fractional)
Pb 0.000 0.000 0.000
Er 0.431 0.431 0.000
Er 0.569 0.000 0.000
Pd 0.243 0.000 0.500
Pb 0.667 0.333 0.500
Pb 0.333 0.667 0.500
Pd 0.757 0.757 0.500
Pd 0.000 0.243 0.500
Er 0.000 0.569 0.000

**Total energy**: -5.07 eV per atom
**Space-group type**: No. 189

***

no.,spin magnetization (μB/cell)
1,2.01
2,2.55
3,1.19
4,0.91
5,8.19
6,0.20
7,2.80
8,1.02
9,2.74
10,0.01
11,0.11
12,1.96
13,2.81
14,6.04
15,0.00
16,2.78
17,0.05
18,1.89
19,0.31
20,0.00
21,0.00
22,0.95
23,0.02
24,0.17
25,0.00
26,0.01
27,0.00
28,0.01